# 1
# YHSe2 | Alexandria via LeMat-Bulk | GGA-PBE | relaxed
# DOS(E_F)   0.0 states/eV/cell
data_YHSe2
_chemical_formula_sum 'Y2 H2 Se4'
_cell_length_a 5.6634
_cell_length_b 4.1795
_cell_length_c 8.8242
_cell_angle_alpha 90.00
_cell_angle_beta 91.91
_cell_angle_gamma 90.00
_space_group_name_H-M_alt 'P 1 21/m 1'
_space_group_IT_number 11
loop_
_space_group_symop_operation_xyz
'x,y,z'
'-x,-y,-z'
'-x,y+1/2,-z'
'x,-y+1/2,z'
loop_
_atom_site_label
_atom_site_type_symbol
_atom_site_fract_x
_atom_site_fract_y
_atom_site_fract_z
Y1 Y 0.2439 0.2500 0.3713
H1 H 0.0073 0.2500 0.8741
Se1 Se 0.2553 0.7500 0.1431
Se2 Se 0.2552 0.7500 0.6025

# 2
# YHSe2 | Alexandria via LeMat-Bulk | GGA-PBE | relaxed
# DOS(E_F)   6.6 states/eV/cell
data_YHSe2
_chemical_formula_sum 'Y4 H4 Se8'
_cell_length_a 5.4966
_cell_length_b 5.4966
_cell_length_c 12.6579
_cell_angle_alpha 90.00
_cell_angle_beta 90.00
_cell_angle_gamma 90.00
_space_group_name_H-M_alt 'I 41/a m d'
_space_group_IT_number 141
loop_
_space_group_symop_operation_xyz
'x,y,z'
'-x,-y,-z'
'-y+1/4,x+3/4,z+1/4'
'y+1/4,-x+3/4,-z+1/4'
'-x+1/2,-y,z+1/2'
'x+1/2,y,-z+1/2'
'y+1/4,-x+1/4,z+3/4'
'-y+1/4,x+1/4,-z+3/4'
'x,-y,-z'
'-x,y,z'
'-y+1/4,-x+1/4,-z+3/4'
'y+1/4,x+1/4,z+3/4'
'-x+1/2,y,-z+1/2'
'x+1/2,-y,z+1/2'
'y+1/4,x+3/4,-z+1/4'
'-y+1/4,-x+3/4,z+1/4'
'x+1/2,y+1/2,z+1/2'
'-x+1/2,-y+1/2,-z+1/2'
'-y+3/4,x+1/4,z+3/4'
'y+3/4,-x+1/4,-z+3/4'
'-x,-y+1/2,z'
'x,y+1/2,-z'
'y+3/4,-x+3/4,z+1/4'
'-y+3/4,x+3/4,-z+1/4'
'x+1/2,-y+1/2,-z+1/2'
'-x+1/2,y+1/2,z+1/2'
'-y+3/4,-x+3/4,-z+1/4'
'y+3/4,x+3/4,z+1/4'
'-x,y+1/2,-z'
'x,-y+1/2,z'
'y+3/4,x+1/4,-z+3/4'
'-y+3/4,-x+1/4,z+3/4'
loop_
_atom_site_label
_atom_site_type_symbol
_atom_site_fract_x
_atom_site_fract_y
_atom_site_fract_z
Y1 Y 0.0000 0.2500 0.3750
H1 H 0.0000 0.2500 0.8750
Se1 Se 0.0000 0.2500 0.1433

# 3
# YHSe2 | Alexandria via LeMat-Bulk | GGA-PBE | relaxed
# DOS(E_F)   0.0 states/eV/cell
data_YHSe2
_chemical_formula_sum 'Y2 H2 Se4'
_cell_length_a 4.4279
_cell_length_b 7.0406
_cell_length_c 5.6003
_cell_angle_alpha 90.00
_cell_angle_beta 90.00
_cell_angle_gamma 90.00
_space_group_name_H-M_alt 'P m n 21'
_space_group_IT_number 31
loop_
_space_group_symop_operation_xyz
'x,y,z'
'-x+1/2,-y,z+1/2'
'-x,y,z'
'x+1/2,-y,z+1/2'
loop_
_atom_site_label
_atom_site_type_symbol
_atom_site_fract_x
_atom_site_fract_y
_atom_site_fract_z
Y1 Y 0.0000 0.1963 0.0000
H1 H 0.0000 0.6841 0.0809
Se1 Se 0.0000 0.0649 0.4948
Se2 Se 0.0000 0.5561 0.2918

# 4
# Y2HSe3 | Alexandria via LeMat-Bulk | GGA-PBE | relaxed
# DOS(E_F)   15.0 states/eV/cell
data_Y2HSe3
_chemical_formula_sum 'Y8 H4 Se12'
_cell_length_a 10.8083
_cell_length_b 3.9058
_cell_length_c 11.8307
_cell_angle_alpha 90.00
_cell_angle_beta 90.00
_cell_angle_gamma 90.00
_space_group_name_H-M_alt 'P n m a'
_space_group_IT_number 62
loop_
_space_group_symop_operation_xyz
'x,y,z'
'-x,-y,-z'
'-x+1/2,-y,z+1/2'
'x+1/2,y,-z+1/2'
'x+1/2,-y+1/2,-z+1/2'
'-x+1/2,y+1/2,z+1/2'
'-x,y+1/2,-z'
'x,-y+1/2,z'
loop_
_atom_site_label
_atom_site_type_symbol
_atom_site_fract_x
_atom_site_fract_y
_atom_site_fract_z
Y1 Y 0.0503 0.2500 0.1751
Y2 Y 0.1961 0.2500 0.5161
H1 H 0.1355 0.7500 0.1238
Se1 Se 0.0668 0.7500 0.3722
Se2 Se 0.1200 0.2500 0.9349
Se3 Se 0.1809 0.7500 0.6928

# 5
# YH2Se | Alexandria via LeMat-Bulk | GGA-PBE | relaxed
# DOS(E_F)   0.0 states/eV/cell
data_YH2Se
_chemical_formula_sum 'Y4 H8 Se4'
_cell_length_a 10.1364
_cell_length_b 3.8764
_cell_length_c 5.9906
_cell_angle_alpha 90.00
_cell_angle_beta 100.31
_cell_angle_gamma 90.00
_space_group_name_H-M_alt 'C 1 m 1'
_space_group_IT_number 8
loop_
_space_group_symop_operation_xyz
'x,y,z'
'x,-y,z'
'x+1/2,y+1/2,z'
'x+1/2,-y+1/2,z'
loop_
_atom_site_label
_atom_site_type_symbol
_atom_site_fract_x
_atom_site_fract_y
_atom_site_fract_z
Y1 Y 0.0000 0.0000 0.0000
Y2 Y 0.1566 0.5000 0.5754
H1 H 0.0653 0.0000 0.3675
H2 H 0.1071 0.0000 0.7232
H3 H 0.3836 0.0000 0.1219
H4 H 0.4468 0.0000 0.2203
Se1 Se 0.2113 0.5000 0.0896
Se2 Se 0.3822 0.0000 0.6554

# 6
# YHSe2 | Alexandria via LeMat-Bulk | GGA-PBE | relaxed
# DOS(E_F)   0.0 states/eV/cell
data_YHSe2
_chemical_formula_sum 'Y1 H1 Se2'
_cell_length_a 4.2546
_cell_length_b 4.2546
_cell_length_c 6.6731
_cell_angle_alpha 90.00
_cell_angle_beta 90.00
_cell_angle_gamma 120.00
_space_group_name_H-M_alt 'P 3 m 1'
_space_group_IT_number 156
loop_
_space_group_symop_operation_xyz
'x,y,z'
'-y,x-y,z'
'-x+y,-x,z'
'-y,-x,z'
'-x+y,y,z'
'x,x-y,z'
loop_
_atom_site_label
_atom_site_type_symbol
_atom_site_fract_x
_atom_site_fract_y
_atom_site_fract_z
Y1 Y 0.0000 0.0000 0.0000
H1 H 0.3333 0.6667 0.5336
Se1 Se 0.3333 0.6667 0.7557
Se2 Se 0.6667 0.3333 0.2060

# 7
# YHSe2 | Alexandria via LeMat-Bulk | GGA-PBE | relaxed
# DOS(E_F)   0.0 states/eV/cell
data_YHSe2
_chemical_formula_sum 'Y4 H4 Se8'
_cell_length_a 7.4697
_cell_length_b 8.5708
_cell_length_c 7.1889
_cell_angle_alpha 90.00
_cell_angle_beta 119.16
_cell_angle_gamma 90.00
_space_group_name_H-M_alt 'C 1 2/c 1'
_space_group_IT_number 15
loop_
_space_group_symop_operation_xyz
'x,y,z'
'-x,-y,-z'
'-x,y,-z+1/2'
'x,-y,z+1/2'
'x+1/2,y+1/2,z'
'-x+1/2,-y+1/2,-z'
'-x+1/2,y+1/2,-z+1/2'
'x+1/2,-y+1/2,z+1/2'
loop_
_atom_site_label
_atom_site_type_symbol
_atom_site_fract_x
_atom_site_fract_y
_atom_site_fract_z
Y1 Y 0.0000 0.1331 0.2500
H1 H 0.0000 0.1777 0.7500
Se1 Se 0.2139 0.1342 0.7105

# 8
# YH2Se | Alexandria via LeMat-Bulk | GGA-PBE | relaxed
# DOS(E_F)   10.3 states/eV/cell
data_YH2Se
_chemical_formula_sum 'Y4 H8 Se4'
_cell_length_a 4.1147
_cell_length_b 4.1147
_cell_length_c 14.3909
_cell_angle_alpha 90.00
_cell_angle_beta 90.00
_cell_angle_gamma 90.00
_space_group_name_H-M_alt 'I -4 2 d'
_space_group_IT_number 122
_space_group_name_Hall 'I -4 2bw'
loop_
_atom_site_label
_atom_site_type_symbol
_atom_site_fract_x
_atom_site_fract_y
_atom_site_fract_z
Y1 Y 0.0000 0.0000 0.0000
H1 H 0.1611 0.2500 0.1250
Se1 Se 0.0000 0.0000 0.5000

Here are the calculated E_tot numbers, same order: -42.997; -75.539; -42.932; -140.103; -81.919; -21.253; -84.035; -73.523 (eV for the cell shown).